Below is crystalline CrInGaF6 at its relaxed geometry, with properties calculated at the PBE with a Hubbard U level.

Geometry as POSCAR:
```
CrInGaF6
1.0
2.838 -4.654 0.000
2.838 4.654 0.000
-0.100 0.000 5.881
Cr In Ga F
1 1 1 6
direct
0.000 0.000 0.000
0.662 0.338 0.500
0.336 0.664 0.000
0.052 0.356 0.166
0.055 0.707 0.817
0.293 0.945 0.183
0.323 0.384 0.798
0.616 0.677 0.202
0.644 0.948 0.834
```

Computed properties:
- D(E_F): 0.0 states/eV/cell
- Total magnetic moment: 4.0 μB/f.u.
- Electronic total energy: -5.13 eV/atom